[1]
A plane-wave DFT calculation with PBEsol was carried out for an optimized crystal structure of CrIrSCl2.

Properties
DOS(E_F)	1.046	states/eV/atom
raw total energy	-5.26	eV per atom
SG	No. 123
total magnetization	4.83	μB per cell

Unit cell a=4.3790 b=4.9296 c=4.9296 alpha=90.00 beta=90.00 gamma=90.00
With the nearest neighbours (Å) after each atom.
Sites, in units of the cell vectors:
Cr 0.5000 0.5000 0.5000  8 Cl 3.30, 4 S 3.49
S 0.5000 0.0000 0.0000  2 Ir 2.19
Ir 0.0000 0.0000 0.0000  2 S 2.19
Cl 0.0000 0.0000 0.5000  2 Ir 2.46
Cl 0.0000 0.5000 0.0000  2 Ir 2.46



[2]
A plane-wave DFT calculation with PBEsol was carried out for an optimized crystal structure of K2CrCl.

Properties
DOS(E_F)	0.216	states/eV/atom
raw total energy	-3.57	eV per atom
SG	No. 119
total magnetization	5.18	μB per cell
excess energy over the best structure of this formula in the dataset	127.6	meV per atom

Unit cell a=4.6251 b=4.6251 c=7.3402 alpha=108.36 beta=108.36 gamma=90.00
With the nearest neighbours (Å) after each atom.
Sites, in units of the cell vectors:
Cr 0.2500 0.7500 0.5000  4 K 3.27
K 0.0000 0.0000 0.0000  4 Cl 3.27
K 0.7500 0.2500 0.5000  4 Cr 3.27
Cl 0.5000 0.5000 0.0000  4 K 3.27



[3]
A plane-wave DFT calculation with PBEsol was carried out for an optimized crystal structure of KCrCl.

Properties
DOS(E_F)	0.375	states/eV/atom
raw total energy	-4.11	eV per atom
SG	No. 216
total magnetization	5.85	μB per cell
excess energy over the best structure of this formula in the dataset	257.3	meV per atom

Unit cell a=5.1475 b=5.1475 c=5.1475 alpha=60.00 beta=60.00 gamma=60.00
With the nearest neighbours (Å) after each atom.
Sites, in units of the cell vectors:
Cr 0.2500 0.2500 0.2500  4 Cl 3.15, 4 K 3.15
K 0.0000 0.0000 0.0000  4 Cr 3.15
Cl 0.5000 0.5000 0.5000  4 Cr 3.15



[4]
A plane-wave DFT calculation with PBEsol was carried out for an optimized crystal structure of K2CrCl.

Properties
DOS(E_F)	0.323	states/eV/atom
raw total energy	-3.69	eV per atom
SG	No. 99
total magnetization	5.28	μB per cell
excess energy over the best structure of this formula in the dataset	0.0	meV per atom

Unit cell a=3.9247 b=3.9247 c=9.9897 alpha=90.00 beta=90.00 gamma=90.00
With the nearest neighbours (Å) after each atom.
Sites, in units of the cell vectors:
Cr 0.5000 0.5000 0.7750  5 K 3.55-3.59, 4 Cr 3.92
K 0.0000 0.0000 0.0035  1 Cl 2.98
K 0.5000 0.5000 0.4199  4 Cl 3.02
Cl 0.0000 0.0000 0.3016  5 K 2.98-3.02



[5]
A plane-wave DFT calculation with PBEsol was carried out for an optimized crystal structure of KCrCl3.

Properties
DOS(E_F)	0.163	states/eV/atom
raw total energy	-4.81	eV per atom
SG	No. 221
total magnetization	4.00	μB per cell

Unit cell a=4.8695 b=4.8679 c=4.8679 alpha=90.00 beta=90.00 gamma=90.00
With the nearest neighbours (Å) after each atom.
Sites, in units of the cell vectors:
Cr 0.4880 0.5000 0.5000  6 Cl 2.43-2.44
K 0.9871 0.0000 0.0000  12 Cl 3.44
Cl 0.4873 0.5000 0.0000  2 Cr 2.43
Cl 0.9878 0.5000 0.5000  2 Cr 2.43-2.44
Cl 0.4873 0.0000 0.5000  2 Cr 2.43



[6]
A plane-wave DFT calculation with PBEsol was carried out for an optimized crystal structure of KCrCl3.

Properties
DOS(E_F)	0.181	states/eV/atom
raw total energy	-4.81	eV per atom
SG	No. 161
total magnetization	8.00	μB per cell

Unit cell a=6.8552 b=6.8552 c=6.8552 alpha=60.35 beta=60.35 gamma=60.35
With the nearest neighbours (Å) after each atom.
Sites, in units of the cell vectors:
K 0.7446 0.7446 0.7446  9 Cl 3.20-3.44
K 0.2446 0.2446 0.2446  9 Cl 3.20-3.44
Cr 0.9943 0.9943 0.9943  6 Cl 2.44
Cr 0.4943 0.4943 0.4943  6 Cl 2.44
Cl 0.7440 0.2086 0.2800  2 Cr 2.44
Cl 0.2086 0.2800 0.7440  2 Cr 2.44
Cl 0.2800 0.7440 0.2086  2 Cr 2.44
Cl 0.7800 0.7086 0.2440  2 Cr 2.44
Cl 0.2440 0.7800 0.7086  2 Cr 2.44
Cl 0.7086 0.2440 0.7800  2 Cr 2.44



What are the calculated volume values for these records? In order: 21.28, 35.14, 32.15, 38.47, 23.08, 22.96 Å³ per atom.
What are the energy relative to the elements, uncorrected values for these records? In order: 0.43, 0.06, 0.35, -0.06, -1.33, -1.33 eV/atom.